11
Lattice="-3.4325 -0.1536 2.3700 2.3261 -1.0577 3.3005 1.0460 8.8104 2.0861" Properties=species:S:1:pos:R:3 comment="GGA-PBE KTa4ClO5, relaxed" energy_ha_per_atom=-0.329 m_tot_mub_per_cell=0.00 pbc="T T T"
Ta 0.8190 6.8984 1.6334
Ta -1.7163 -0.0768 1.1850
Ta 0.2270 1.9120 0.4527
Ta 1.1631 -0.5288 1.6502
O 1.4052 1.5104 2.1331
O -1.4741 1.9624 1.6678
O -0.9123 6.6943 2.7883
O 1.9670 6.2423 3.2535
O -0.5532 -0.6056 2.8352
K -0.0302 3.7996 3.8783
Cl 0.5230 4.4052 1.0431